PmEr2Au6 | PBE | relaxed

**Crystal system**: monoclinic
**Formation energy from the elements**: -0.739 eV/atom

a b c (Å): 13.8814 10.9779 5.2894
angles (deg): 90.00 101.64 90.00
Space group C2/c (No. 15)
Symmetry-distinct sites (fractional):
Pm  0.0000  0.1256  0.2500 [4 per cell]
Er  0.1669  0.3764  0.0857 [8 per cell]
Au  0.0561  0.3798  0.5244 [8 per cell]
Au  0.1134  0.1308  0.8131 [8 per cell]
Au  0.2281  0.1263  0.3541 [8 per cell]



PmEr2Au3 | PBE | relaxed

**Crystal system**: tetragonal
**Formation energy from the elements**: -0.853 eV/atom

a b c (Å): 3.5786 3.5786 10.9886
angles (deg): 90.00 90.00 90.00
Space group P4/mmm (No. 123)
Symmetry-distinct sites (fractional):
Pm  0.0000  0.0000  0.0000 [1 per cell]
Er  0.0000  0.0000  0.3371 [2 per cell]
Au  0.5000  0.5000  0.1817 [2 per cell]
Au  0.5000  0.5000  0.5000 [1 per cell]



PmEr5Au4 | PBE | relaxed

**Crystal system**: tetragonal
**Formation energy from the elements**: -0.699 eV/atom

a b c (Å): 3.5466 3.5466 19.6182
angles (deg): 90.00 90.00 90.00
Space group P4/mmm (No. 123)
Symmetry-distinct sites (fractional):
Pm  0.0000  0.0000  0.0000 [1 per cell]
Er  0.5000  0.5000  0.1329 [2 per cell]
Er  0.5000  0.5000  0.3151 [2 per cell]
Er  0.5000  0.5000  0.5000 [1 per cell]
Au  0.0000  0.0000  0.2211 [2 per cell]
Au  0.0000  0.0000  0.4077 [2 per cell]



Pm3ErAu4 | PBE | relaxed

**Crystal system**: tetragonal
**Formation energy from the elements**: -0.809 eV/atom

a b c (Å): 3.6468 3.6468 14.7387
angles (deg): 90.00 90.00 90.00
Space group P4/mmm (No. 123)
Symmetry-distinct sites (fractional):
Pm  0.0000  0.0000  0.0000 [1 per cell]
Pm  0.0000  0.0000  0.2539 [2 per cell]
Er  0.0000  0.0000  0.5000 [1 per cell]
Au  0.5000  0.5000  0.1258 [2 per cell]
Au  0.5000  0.5000  0.3866 [2 per cell]



PmEr2Au2 | PBE | relaxed

**Crystal system**: monoclinic
**Formation energy from the elements**: -0.626 eV/atom

a b c (Å): 5.2523 4.8758 10.7557
angles (deg): 90.00 95.33 90.00
Space group P2_1/m (No. 11)
Symmetry-distinct sites (fractional):
Pm  0.2001  0.2500  0.2378 [2 per cell]
Er  0.2491  0.7500  0.4935 [2 per cell]
Er  0.3266  0.2500  0.8884 [2 per cell]
Au  0.1620  0.7500  0.0125 [2 per cell]
Au  0.2748  0.2500  0.6280 [2 per cell]



Pm5ErAu6 | PBE | relaxed

**Crystal system**: monoclinic
**Formation energy from the elements**: -0.798 eV/atom

a b c (Å): 16.4851 7.3034 5.2025
angles (deg): 90.00 108.32 90.00
Space group C2/m (No. 12)
Symmetry-distinct sites (fractional):
Pm  0.0000  0.0000  0.0000 [2 per cell]
Pm  0.1652  0.0000  0.6654 [4 per cell]
Pm  0.1688  0.5000  0.6683 [4 per cell]
Er  0.0000  0.5000  0.0000 [2 per cell]
Au  0.0000  0.2665  0.5000 [4 per cell]
Au  0.1616  0.2586  0.1611 [8 per cell]



PmErAu6 | PBE | relaxed

**Crystal system**: monoclinic
**Formation energy from the elements**: -0.657 eV/atom

a b c (Å): 9.1003 4.5988 9.1519
angles (deg): 90.00 119.69 90.00
Space group C2/m (No. 12)
Symmetry-distinct sites (fractional):
Pm  0.0000  0.0000  0.0000 [2 per cell]
Er  0.0000  0.5000  0.5000 [2 per cell]
Au  0.1163  0.5000  0.8641 [4 per cell]
Au  0.1300  0.0000  0.3832 [4 per cell]
Au  0.2435  0.0000  0.7499 [4 per cell]



PmErAu4 | PBE | relaxed

**Crystal system**: tetragonal
**Formation energy from the elements**: -0.831 eV/atom

a b c (Å): 3.7779 3.7779 9.1478
angles (deg): 90.00 90.00 90.00
Space group P4/mmm (No. 123)
Symmetry-distinct sites (fractional):
Pm  0.0000  0.0000  0.0000 [1 per cell]
Er  0.5000  0.5000  0.5000 [1 per cell]
Au  0.0000  0.0000  0.3402 [2 per cell]
Au  0.5000  0.5000  0.1717 [2 per cell]



PmEr2Au4 | PBE | relaxed

**Crystal system**: orthorhombic
**Formation energy from the elements**: -0.696 eV/atom

a b c (Å): 7.2269 9.7897 5.0149
angles (deg): 90.00 90.00 90.00
Space group Cmmm (No. 65)
Symmetry-distinct sites (fractional):
Pm  0.0000  0.0000  0.0000 [2 per cell]
Er  0.0000  0.2839  0.5000 [4 per cell]
Au  0.2162  0.0000  0.5000 [4 per cell]
Au  0.2500  0.2500  0.0000 [4 per cell]



Pm2ErAu | PBE | relaxed

**Crystal system**: trigonal
**Formation energy from the elements**: 0.142 eV/atom

a b c (Å): 3.5462 3.5462 34.5281
angles (deg): 90.00 90.00 120.00
Space group R-3m (No. 166, hexagonal axes)
Symmetry-distinct sites (fractional):
Pm  0.0000  0.0000  0.0832 [6 per cell]
Er  0.0000  0.0000  0.5000 [3 per cell]
Au  0.0000  0.0000  0.0000 [3 per cell]



Pm3ErAu2 | PBE | relaxed

**Crystal system**: orthorhombic
**Formation energy from the elements**: -0.414 eV/atom

a b c (Å): 7.1558 14.0506 7.5044
angles (deg): 90.00 90.00 90.00
Space group Ibam (No. 72)
Symmetry-distinct sites (fractional):
Pm  0.0000  0.0000  0.2500 [4 per cell]
Pm  0.0000  0.2695  0.2500 [8 per cell]
Er  0.0000  0.5000  0.0000 [4 per cell]
Au  0.2068  0.1394  0.0000 [8 per cell]



PmEr4Au2 | PBE | relaxed

**Crystal system**: trigonal
**Formation energy from the elements**: -0.275 eV/atom

a b c (Å): 4.8597 4.8597 30.8977
angles (deg): 90.00 90.00 120.00
Space group R-3m (No. 166, hexagonal axes)
Symmetry-distinct sites (fractional):
Pm  0.0000  0.0000  0.0000 [3 per cell]
Er  0.0000  0.0000  0.2005 [6 per cell]
Er  0.0000  0.0000  0.4003 [6 per cell]
Au  0.0000  0.0000  0.1028 [6 per cell]



- Which value of formation energy from the elements does entry 8 give?
  -0.831 eV/atom